[1]
## TcPbBr2 (GGA-PBE)

Data for an optimized crystal structure of TcPbBr2.

Geometry as POSCAR:
```
TcPbBr2
1.0
-3.830 0.617 1.213
-1.355 -1.995 -3.266
0.197 -6.869 4.114
Br Tc Pb
2 1 1
direct
0.000 0.000 0.960
0.500 0.500 0.310
0.500 0.500 0.607
0.000 0.000 0.623
```

## Properties
E above lowest polymorph	264	meV per atom
N(E_F)	0.342	states/eV per atom
raw total energy	-16.30	eV for the cell shown
formation energy from raw total energies	281	meV/atom
total magnetization	2.938	Bohr magnetons per cell

***

[2]
## VPHRuS (GGA-PBE)

Data for an optimized crystal structure of VPHRuS.

Geometry as POSCAR:
```
VPHRuS
1.0
-3.645 3.322 -1.439
-2.107 -2.066 0.566
0.604 1.614 8.146
S H Ru V P
2 2 2 2 2
direct
0.913 0.000 0.301
0.913 0.500 0.801
0.697 0.500 0.054
0.697 0.000 0.554
0.354 0.500 0.954
0.354 0.000 0.454
0.889 0.000 0.003
0.889 0.500 0.503
0.323 0.500 0.658
0.323 0.000 0.158
```

## Properties
E above lowest polymorph	108	meV per atom
N(E_F)	0.358	states/eV per atom
raw total energy	-66.34	eV for the cell shown
total magnetization	0.000	Bohr magnetons per cell

***

[3]
## Tl2CuIr (GGA-PBE)

Data for an optimized crystal structure of Tl2CuIr.

Geometry as POSCAR:
```
Tl2CuIr
1.0
5.423 0.011 0.000
2.424 4.851 0.000
-3.923 -2.431 2.847
Tl Ir Cu
2 1 1
direct
0.000 0.000 0.000
0.250 0.750 0.500
0.750 0.250 0.500
0.500 0.500 0.000
```

## Properties
E above lowest polymorph	133	meV per atom
N(E_F)	0.286	states/eV per atom
raw total energy	-15.81	eV for the cell shown
total magnetization	0.000	Bohr magnetons per cell